Record 1
DFT (PBE) results for Hf2ZrTe after structural relaxation.

**Size of the total moment**: 0.0 μB per cell
**Formation energy (no corrections)**: -1.236 eV per formula unit
**Calculated density**: 10799 kg/m³

Unit cell a=3.7243 b=3.7243 c=6.3834 alpha=90.00 beta=90.00 gamma=90.00
Positions (direct):
Te 0.5000 0.5000 0.0000
Zr 0.5000 0.5000 0.5000
Hf 0.0000 0.0000 0.2480
Hf 0.0000 0.0000 0.7520

Record 2
DFT (PBE) results for Hf2ZrTe after structural relaxation.

**Size of the total moment**: 0.0 μB per cell
**Formation energy (no corrections)**: -0.557 eV per formula unit
**Calculated density**: 10108 kg/m³

Unit cell a=3.4471 b=3.4471 c=9.4052 alpha=79.44 beta=79.44 gamma=60.00
Positions (direct):
Zr 0.4996 0.4996 0.5013
Te 0.6671 0.6671 0.9987
Hf 0.2540 0.2540 0.2379
Hf 0.0793 0.0793 0.7620

Record 3
DFT (PBE) results for HfZr3Te8 after structural relaxation.

**Size of the total moment**: 0.0 μB per cell
**Formation energy (no corrections)**: -10.347 eV per formula unit
**Calculated density**: 6067 kg/m³

Unit cell a=7.9324 b=7.9420 c=8.7180 alpha=117.40 beta=90.00 gamma=119.96
Positions (direct):
Zr 0.5000 0.0000 0.0000
Zr 0.0000 0.5000 0.0000
Zr 0.5000 0.5000 0.0000
Te 0.2471 0.9984 0.2435
Te 0.7529 0.0016 0.7565
Te 0.7512 0.9984 0.2435
Te 0.2510 0.5020 0.7551
Te 0.2488 0.0016 0.7565
Te 0.2471 0.4942 0.2435
Te 0.7529 0.5058 0.7565
Te 0.7490 0.4980 0.2449
Hf 0.0000 0.0000 0.0000

Record 4
DFT (PBE) results for HfZr3Te6 after structural relaxation.

**Size of the total moment**: 0.0 μB per cell
**Formation energy (no corrections)**: -6.407 eV per formula unit
**Calculated density**: 6686 kg/m³

Unit cell a=8.4730 b=8.4730 c=8.4730 alpha=86.41 beta=86.41 gamma=86.41
Positions (direct):
Zr 0.3770 0.9104 0.7758
Zr 0.0896 0.2242 0.6230
Zr 0.2242 0.6230 0.0896
Zr 0.7758 0.3770 0.9104
Zr 0.6230 0.0896 0.2242
Zr 0.9104 0.7758 0.3770
Te 0.5431 0.4211 0.1782
Te 0.8887 0.6762 0.0597
Te 0.1113 0.3238 0.9403
Te 0.4569 0.5789 0.8218
Te 0.5789 0.8218 0.4569
Te 0.0597 0.8887 0.6762
Te 0.8218 0.4569 0.5789
Te 0.3238 0.9403 0.1113
Te 0.9403 0.1113 0.3238
Te 0.4211 0.1782 0.5431
Te 0.6762 0.0597 0.8887
Te 0.1782 0.5431 0.4211
Hf 0.5000 0.5000 0.5000
Hf 0.0000 0.0000 0.0000

Record 5
DFT (PBE) results for HfZr2Te4 after structural relaxation.

**Size of the total moment**: 0.0 μB per cell
**Formation energy (no corrections)**: -5.955 eV per formula unit
**Energy relative to the lowest polymorph listed for this composition**: 0.0000 eV/atom
**Calculated density**: 7576 kg/m³

Unit cell a=3.9019 b=7.3484 c=7.8735 alpha=118.18 beta=104.35 gamma=90.00
Positions (direct):
Zr 0.2498 0.1925 0.4995
Zr 0.7502 0.8075 0.5005
Te 0.8999 0.2432 0.7998
Te 0.6353 0.3109 0.2705
Te 0.1001 0.7568 0.2002
Te 0.3647 0.6891 0.7295
Hf 0.0000 0.0000 0.0000

Record 6
DFT (PBE) results for HfZr2Te after structural relaxation.

**Size of the total moment**: 0.0 μB per cell
**Formation energy (no corrections)**: -1.488 eV per formula unit
**Calculated density**: 9052 kg/m³

Unit cell a=3.7154 b=3.7154 c=6.4921 alpha=90.00 beta=90.00 gamma=90.00
Positions (direct):
Te 0.5000 0.5000 0.5000
Zr 0.0000 0.0000 0.2568
Zr 0.0000 0.0000 0.7432
Hf 0.5000 0.5000 0.0000

Record 7
DFT (PBE) results for HfZrTe3 after structural relaxation.

**Size of the total moment**: 0.0 μB per cell
**Formation energy (no corrections)**: -4.156 eV per formula unit
**Energy relative to the lowest polymorph listed for this composition**: 0.0000 eV/atom
**Calculated density**: 7618 kg/m³

Unit cell a=3.9758 b=7.2859 c=10.1502 alpha=104.66 beta=90.00 gamma=90.00
Positions (direct):
Te 0.2500 0.4733 0.1885
Te 0.7500 0.9831 0.1583
Te 0.2500 0.2661 0.4942
Te 0.7500 0.7339 0.5058
Te 0.7500 0.5267 0.8115
Te 0.2500 0.0169 0.8417
Zr 0.7500 0.1257 0.6517
Zr 0.2500 0.8743 0.3483
Hf 0.7500 0.2876 0.9936
Hf 0.2500 0.7124 0.0064

Record 8
DFT (PBE) results for Hf3ZrTe2 after structural relaxation.

**Size of the total moment**: 0.0 μB per cell
**Formation energy (no corrections)**: -2.176 eV per formula unit
**Calculated density**: 9680 kg/m³

Unit cell a=3.6992 b=9.8398 c=11.0297 alpha=129.04 beta=90.00 gamma=100.83
Positions (direct):
Hf 0.9584 0.9168 0.5790
Hf 0.3799 0.7598 0.2951
Hf 0.0416 0.0832 0.4210
Hf 0.6751 0.3503 0.4497
Hf 0.6201 0.2402 0.7049
Hf 0.3249 0.6497 0.5503
Zr 0.1767 0.3534 0.9958
Zr 0.8233 0.6466 0.0042
Te 0.7490 0.4980 0.2789
Te 0.4809 0.9617 0.1584
Te 0.5191 0.0383 0.8416
Te 0.2510 0.5020 0.7211

Record 9
DFT (PBE) results for Hf2ZrTe after structural relaxation.

**Size of the total moment**: 0.0 μB per cell
**Formation energy (no corrections)**: 1.093 eV per formula unit
**Calculated density**: 10016 kg/m³

Unit cell a=3.2167 b=3.2167 c=10.8137 alpha=81.45 beta=81.45 gamma=60.00
Positions (direct):
Hf 0.0926 0.0926 0.7222
Hf 0.9074 0.9074 0.2778
Zr 0.0000 0.0000 0.0000
Te 0.5000 0.5000 0.5000

Record 10
DFT (PBE) results for HfZrTe3 after structural relaxation.

**Size of the total moment**: 1.9 μB per cell
**Formation energy (no corrections)**: 0.890 eV per formula unit
**Energy relative to the lowest polymorph listed for this composition**: 1.0091 eV/atom
**Calculated density**: 6558 kg/m³

Unit cell a=5.4873 b=5.4873 c=5.4873 alpha=90.00 beta=90.00 gamma=90.00
Each line ends with the local moment (μB).
Positions (direct):
Te 0.0000 0.5000 0.0000  -0.12
Te 0.5000 0.0000 0.0000  -0.09
Te 0.0000 0.0000 0.5000  -0.09
Zr 0.5000 0.5000 0.5000  1.40
Hf 0.0000 0.0000 0.0000  0.09

Record 11
DFT (PBE) results for HfZrTe2 after structural relaxation.

**Size of the total moment**: 0.0 μB per cell
**Formation energy (no corrections)**: -2.585 eV per formula unit
**Energy relative to the lowest polymorph listed for this composition**: 0.0019 eV/atom
**Calculated density**: 8768 kg/m³

Unit cell a=3.7402 b=7.3595 c=9.0895 alpha=124.83 beta=101.86 gamma=90.01
Positions (direct):
Te 0.0631 0.4514 0.7011
Te 0.3039 0.5033 0.1819
Te 0.3569 0.0562 0.2890
Te 0.5978 0.1081 0.7698
Zr 0.9387 0.8785 0.4519
Zr 0.7222 0.6810 0.0190
Hf 0.4908 0.6066 0.5561
Hf 0.1701 0.9530 0.9148

Record 12
DFT (PBE) results for HfZr2Te after structural relaxation.

**Size of the total moment**: 0.0 μB per cell
**Formation energy (no corrections)**: -0.934 eV per formula unit
**Calculated density**: 8492 kg/m³

Unit cell a=3.4681 b=3.4681 c=9.3873 alpha=79.36 beta=79.36 gamma=60.00
Positions (direct):
Zr 0.0796 0.0796 0.7612
Zr 0.2538 0.2538 0.2386
Hf 0.4994 0.4994 0.5017
Te 0.6672 0.6672 0.9985

Q: What is the calculated density in the eighth record?
A: 9680 kg/m³